CoAg4Sb: optimized geometry, PBE.

a b c (Å): 7.747 7.747 7.747
angles (deg): 90.00 90.00 90.00
Space group F-43m (No. 216)
One atom of each set of equivalent atoms:
Co 0.000 0.000 0.000 [4 per cell]
Ag 0.125 0.125 0.375 [16 per cell]
Sb 0.250 0.250 0.750 [4 per cell]

## Properties
formation energy from raw total energies	459.6	meV/atom
uncorrected energy	-3.3126	eV/atom
calculated density	8.75	Mg/m³
calculated volume	19.4	A^3/atom

=====

CoAgSb2: optimized geometry, PBE.

a b c (Å): 4.035 5.085 7.879
angles (deg): 90.00 90.00 90.00
Space group Immm (No. 71)
One atom of each set of equivalent atoms:
Co 0.000 0.000 0.000 [2 per cell]
Ag 0.000 0.000 0.500 [2 per cell]
Sb 0.000 0.500 0.283 [4 per cell]

## Properties
energy above the lowest structure with this stoichiometry	229	meV per atom
formation energy from raw total energies	333.1	meV/atom
uncorrected energy	-4.2174	eV/atom
calculated density	8.43	Mg/m³
calculated volume	20.2	A^3/atom